Below is a relaxed Na3Ag5I12 crystal, with properties calculated at the GGA-PBE level.

```
Na3Ag5I12
1.0
-9.336 9.336 9.336
9.336 -9.336 9.336
9.336 9.336 -9.336
Na Ag I
12 20 48
Direct
0.125 0.250 0.375
0.125 0.375 0.750
0.250 0.375 0.125
0.250 0.875 0.625
0.375 0.125 0.250
0.375 0.750 0.125
0.625 0.250 0.875
0.625 0.875 0.750
0.750 0.125 0.375
0.750 0.625 0.875
0.875 0.625 0.250
0.875 0.750 0.625
0.000 0.000 0.000
0.000 0.000 0.500
0.000 0.500 0.000
0.000 0.500 0.500
0.125 0.750 0.875
0.125 0.875 0.250
0.250 0.125 0.875
0.250 0.625 0.375
0.375 0.250 0.625
0.375 0.625 0.750
0.500 0.000 0.000
0.500 0.000 0.500
0.500 0.500 0.000
0.500 0.500 0.500
0.625 0.375 0.250
0.625 0.750 0.375
0.750 0.375 0.625
0.750 0.875 0.125
0.875 0.125 0.750
0.875 0.250 0.125
0.015 0.182 0.141
0.015 0.333 0.875
0.041 0.682 0.667
0.041 0.859 0.375
0.125 0.641 0.459
0.125 0.985 0.667
0.141 0.015 0.182
0.141 0.625 0.959
0.167 0.182 0.541
0.167 0.485 0.625
0.182 0.141 0.015
0.182 0.541 0.167
0.318 0.333 0.959
0.318 0.485 0.359
0.333 0.875 0.015
0.333 0.959 0.318
0.359 0.318 0.485
0.359 0.541 0.875
0.375 0.041 0.859
0.375 0.833 0.515
0.459 0.125 0.641
0.459 0.833 0.818
0.485 0.359 0.318
0.485 0.625 0.167
0.515 0.375 0.833
0.515 0.641 0.682
0.541 0.167 0.182
0.541 0.875 0.359
0.625 0.167 0.485
0.625 0.959 0.141
0.641 0.459 0.125
0.641 0.682 0.515
0.667 0.041 0.682
0.667 0.125 0.985
0.682 0.515 0.641
0.682 0.667 0.041
0.818 0.459 0.833
0.818 0.859 0.985
0.833 0.515 0.375
0.833 0.818 0.459
0.859 0.375 0.041
0.859 0.985 0.818
0.875 0.015 0.333
0.875 0.359 0.541
0.959 0.141 0.625
0.959 0.318 0.333
0.985 0.667 0.125
0.985 0.818 0.859
```

Summary:
V in Å³/f.u.: 813.69
Total magnetic moment in μB/atom: 0.00
Final energy in eV/cell: -179.94

***

Below is a relaxed Na2AgI3 crystal, with properties calculated at the GGA-PBE level.

```
Na2AgI3
1.0
-2.419 7.413 3.535
2.419 -7.413 3.535
2.419 7.413 -3.535
Na Ag I
2 1 3
Direct
0.164 0.000 0.164
0.836 0.000 0.836
0.502 0.002 0.500
0.109 0.769 0.341
0.428 0.769 0.659
0.726 0.726 0.000
```

Summary:
V in Å³/f.u.: 253.52
Total magnetic moment in μB/atom: 0.00
Final energy in eV/cell: -15.47

***

Below is a relaxed NaAgI2 crystal, with properties calculated at the GGA-PBE level.

```
NaAgI2
1.0
2.215 1.279 7.629
-2.215 1.279 7.629
0.000 -2.557 7.629
Na Ag I
1 1 2
Direct
0.000 0.000 0.000
0.167 0.167 0.167
0.576 0.576 0.576
0.758 0.758 0.758
```

Summary:
V in Å³/f.u.: 129.61
Total magnetic moment in μB/atom: 0.00
E above lowest polymorph in eV/f.u.: 0.24

***

Below is a relaxed Na3AgI crystal, with properties calculated at the GGA-PBE level.

```
Na3AgI
1.0
5.956 0.000 0.000
0.000 5.956 0.000
0.000 0.000 5.956
Na Ag I
3 1 1
Direct
0.000 0.000 0.500
0.000 0.500 0.000
0.500 0.000 0.000
0.500 0.500 0.500
0.000 0.000 0.000
```

Summary:
V in Å³/f.u.: 211.28
Total magnetic moment in μB/atom: 0.00
E above lowest polymorph in eV/f.u.: 0.42

***

Below is a relaxed NaAg5I8 crystal, with properties calculated at the GGA-PBE level.

```
NaAg5I8
1.0
0.000 6.263 6.263
6.263 0.000 6.263
6.263 6.263 0.000
Na Ag I
1 5 8
Direct
0.000 0.000 0.000
0.375 0.375 0.375
0.375 0.375 0.874
0.375 0.874 0.375
0.750 0.750 0.750
0.874 0.375 0.375
0.136 0.136 0.136
0.136 0.136 0.591
0.136 0.591 0.136
0.146 0.618 0.618
0.591 0.136 0.136
0.618 0.146 0.618
0.618 0.618 0.146
0.618 0.618 0.618
```

Summary:
V in Å³/f.u.: 491.28
Total magnetic moment in μB/atom: 0.00
Final energy in eV/cell: -31.77

***

Below is a relaxed Na12Ag3I5 crystal, with properties calculated at the GGA-PBE level.

```
Na12Ag3I5
1.0
-9.209 9.209 9.209
9.209 -9.209 9.209
9.209 9.209 -9.209
Na Ag I
48 12 20
Direct
0.066 0.229 0.148
0.066 0.337 0.918
0.081 0.729 0.663
0.081 0.852 0.418
0.082 0.648 0.419
0.082 0.934 0.663
0.148 0.066 0.229
0.148 0.582 0.919
0.163 0.229 0.581
0.163 0.434 0.582
0.229 0.148 0.066
0.229 0.581 0.163
0.271 0.337 0.919
0.271 0.434 0.352
0.337 0.918 0.066
0.337 0.919 0.271
0.352 0.271 0.434
0.352 0.581 0.918
0.418 0.081 0.852
0.418 0.837 0.566
0.419 0.082 0.648
0.419 0.837 0.771
0.434 0.352 0.271
0.434 0.582 0.163
0.566 0.418 0.837
0.566 0.648 0.729
0.581 0.163 0.229
0.581 0.918 0.352
0.582 0.163 0.434
0.582 0.919 0.148
0.648 0.419 0.082
0.648 0.729 0.566
0.663 0.081 0.729
0.663 0.082 0.934
0.729 0.566 0.648
0.729 0.663 0.081
0.771 0.419 0.837
0.771 0.852 0.934
0.837 0.566 0.418
0.837 0.771 0.419
0.852 0.418 0.081
0.852 0.934 0.771
0.918 0.066 0.337
0.918 0.352 0.581
0.919 0.148 0.582
0.919 0.271 0.337
0.934 0.663 0.082
0.934 0.771 0.852
0.125 0.250 0.375
0.125 0.375 0.750
0.250 0.375 0.125
0.250 0.875 0.625
0.375 0.125 0.250
0.375 0.750 0.125
0.625 0.250 0.875
0.625 0.875 0.750
0.750 0.125 0.375
0.750 0.625 0.875
0.875 0.625 0.250
0.875 0.750 0.625
0.000 0.000 0.000
0.000 0.000 0.500
0.000 0.500 0.000
0.000 0.500 0.500
0.125 0.750 0.875
0.125 0.875 0.250
0.250 0.125 0.875
0.250 0.625 0.375
0.375 0.250 0.625
0.375 0.625 0.750
0.500 0.000 0.000
0.500 0.000 0.500
0.500 0.500 0.000
0.500 0.500 0.500
0.625 0.375 0.250
0.625 0.750 0.375
0.750 0.375 0.625
0.750 0.875 0.125
0.875 0.125 0.750
0.875 0.250 0.125
```

Summary:
V in Å³/f.u.: 781.05
Total magnetic moment in μB/atom: 0.00
Final energy in eV/cell: -166.65

***

Below is a relaxed Na4AgI5 crystal, with properties calculated at the GGA-PBE level.

```
Na4AgI5
1.0
2.279 1.316 18.618
-2.279 1.316 18.618
0.000 -2.632 18.618
Na Ag I
4 1 5
Direct
0.102 0.102 0.102
0.299 0.299 0.299
0.701 0.701 0.701
0.898 0.898 0.898
0.500 0.500 0.500
0.000 0.000 0.000
0.197 0.197 0.197
0.401 0.401 0.401
0.599 0.599 0.599
0.803 0.803 0.803
```

Summary:
V in Å³/f.u.: 335.05
Total magnetic moment in μB/atom: 0.00
Final energy in eV/cell: -26.21

***

Below is a relaxed NaAg3I4 crystal, with properties calculated at the GGA-PBE level.

```
NaAg3I4
1.0
9.539 0.000 0.000
0.000 8.263 0.000
0.000 0.000 7.803
Na Ag I
2 6 8
Direct
0.000 0.165 0.000
0.500 0.835 0.500
0.000 0.827 0.501
0.249 0.335 0.504
0.251 0.665 0.004
0.500 0.173 0.001
0.749 0.665 0.004
0.751 0.335 0.504
0.000 0.161 0.602
0.000 0.813 0.134
0.238 0.659 0.636
0.262 0.341 0.136
0.500 0.187 0.634
0.500 0.839 0.102
0.738 0.341 0.136
0.762 0.659 0.636
```

Summary:
V in Å³/f.u.: 307.53
Total magnetic moment in μB/atom: 0.00
Final energy in eV/cell: -40.07